Entry 1:
Computed, not measured: a relaxed structure of Sm3Zr2Zn3 at the PBE level of DFT.

The structure belongs to space group Immm (No. 71); the cell edges are 3.505, 5.127 and 21.161 Å and the angles 90.00°, 90.00° and 90.00°. The distinct sites, in fractional coordinates, are Sm at (0.000, 0.000, 0.000), Sm at (0.000, 0.500, 0.125), Zr at (0.000, 0.000, 0.234), Zn at (0.000, 0.000, 0.500) and Zn at (0.000, 0.500, 0.377).

Entry 2:
Computed, not measured: a relaxed structure of SmZrZn2 at the PBE level of DFT.

The value obtained for the energy above the most stable polymorph in this dataset is 23 kJ/mol of formula units.

The structure belongs to space group Fm-3m (No. 225); the cell edges are 6.976, 6.976 and 6.976 Å and the angles 90.00°, 90.00° and 90.00°. The distinct sites, in fractional coordinates, are Sm at (0.000, 0.000, 0.000), Zr at (0.000, 0.000, 0.500) and Zn at (0.250, 0.250, 0.250).

Entry 3:
Computed, not measured: a relaxed structure of Sm5ZrZn4 at the PBE level of DFT.

The structure belongs to space group P4/mmm (No. 123); the cell edges are 3.580, 3.580 and 19.466 Å and the angles 90.00°, 90.00° and 90.00°. The distinct sites, in fractional coordinates, are Sm at (0.000, 0.000, 0.000), Sm at (0.000, 0.000, 0.190), Sm at (0.000, 0.000, 0.383), Zr at (0.500, 0.500, 0.500), Zn at (0.500, 0.500, 0.095) and Zn at (0.500, 0.500, 0.286).

Entry 4:
Computed, not measured: a relaxed structure of Sm4ZrZn5 at the PBE level of DFT.

The structure belongs to space group P4/mmm (No. 123); the cell edges are 3.575, 3.575 and 17.922 Å and the angles 90.00°, 90.00° and 90.00°. The distinct sites, in fractional coordinates, are Sm at (0.000, 0.000, 0.104), Sm at (0.000, 0.000, 0.311), Zr at (0.000, 0.000, 0.500), Zn at (0.500, 0.500, 0.000), Zn at (0.500, 0.500, 0.207) and Zn at (0.500, 0.500, 0.418).

Number 1: N(E_F) 14.98 states/eV per cell, total energy -73.290 eV for the cell shown, DFT formation energy -0.196 eV/atom. Number 2: N(E_F) 23.15 states/eV per cell, total energy -66.527 eV for the cell shown, DFT formation energy -0.204 eV/atom. Number 3: N(E_F) 11.74 states/eV per cell, total energy -39.363 eV for the cell shown, DFT formation energy -0.212 eV/atom. Number 4: N(E_F) 11.19 states/eV per cell, total energy -36.664 eV for the cell shown, DFT formation energy -0.287 eV/atom.